Entry 1:
A plane-wave DFT calculation with GGA-PBE was carried out for Li2RuCl6 after structural relaxation.

## Properties
Crystal system: monoclinic
ΔE_f (raw), eV per atom: -1.0539
Energy above the lowest structure with this stoichiometry, eV per formula unit: 0.00
Electronic total energy, eV/atom: -3.741
Volume, Å³/atom: 23.44
Density of states at the Fermi level, states/eV per atom: 0.5038

a b c (Å): 6.2328 6.7270 10.0822
angles (deg): 90.00 93.42 90.00
Last column: nearest neighbours and their distance in Å.
Fractional coordinates of all 18 atoms:
Cl  0.3628  0.5578  0.2116  1 Ru 2.38, 2 Li 2.53-2.58
Cl  0.1831  0.3208  0.9374  1 Ru 2.37, 2 Li 2.47-2.58
Cl  0.8628  0.9422  0.7116  1 Ru 2.38, 2 Li 2.53-2.58
Cl  0.6831  0.1792  0.4374  1 Ru 2.37, 2 Li 2.47-2.58
Cl  0.8348  0.7115  0.4209  1 Ru 2.32, 1 Li 2.52
Cl  0.3169  0.8208  0.5626  1 Ru 2.37, 2 Li 2.47-2.58
Cl  0.8169  0.6792  0.0626  1 Ru 2.37, 2 Li 2.47-2.58
Cl  0.6652  0.2115  0.0791  1 Ru 2.32, 1 Li 2.52
Cl  0.6372  0.4422  0.7884  1 Ru 2.38, 2 Li 2.53-2.58
Cl  0.1372  0.0578  0.2884  1 Ru 2.38, 2 Li 2.53-2.58
Cl  0.3348  0.7885  0.9209  1 Ru 2.32, 1 Li 2.52
Cl  0.1652  0.2885  0.5791  1 Ru 2.32, 1 Li 2.52
Li  0.0194  0.3677  0.1528  5 Cl 2.47-2.58
Li  0.5194  0.1323  0.6528  5 Cl 2.47-2.58
Li  0.9806  0.6323  0.8472  5 Cl 2.47-2.58
Li  0.4806  0.8677  0.3472  5 Cl 2.47-2.58
Ru  0.5000  0.5000  0.0000  6 Cl 2.32-2.38
Ru  0.0000  0.0000  0.5000  6 Cl 2.32-2.38

---

Entry 2:
A plane-wave DFT calculation with GGA-PBE was carried out for YMgTc3 after structural relaxation.

## Properties
Crystal system: cubic
Energy above the lowest structure with this stoichiometry, eV per formula unit: 0.00
Electronic total energy, eV/atom: -6.411
Formation energy, eV per atom: 1.421
Volume, Å³/atom: 20.02
Density of states at the Fermi level, states/eV per atom: 1.7698

a b c (Å): 4.6430 4.6430 4.6430
angles (deg): 90.00 90.00 90.00
Last column: nearest neighbours and their distance in Å.
Fractional coordinates of all 5 atoms:
Tc  0.5000  0.0000  0.0000  2 Mg 2.32
Tc  0.0000  0.0000  0.5000  2 Mg 2.32
Tc  0.0000  0.5000  0.0000  2 Mg 2.32
Y  0.5000  0.5000  0.5000  12 Tc 3.28
Mg  0.0000  0.0000  0.0000  6 Tc 2.32

---

Entry 3:
A plane-wave DFT calculation with GGA-PBE was carried out for SiMo2Pb after structural relaxation.

## Properties
Crystal system: tetragonal
ΔE_f (raw), eV per atom: 0.1590
Energy above the lowest structure with this stoichiometry, eV per formula unit: 0.00
Electronic total energy, eV/atom: -7.539
Volume, Å³/atom: 17.70
Density of states at the Fermi level, states/eV per atom: 0.4710

a b c (Å): 3.2933 3.2933 6.5285
angles (deg): 90.00 90.00 90.00
Last column: nearest neighbours and their distance in Å.
Fractional coordinates of all 4 atoms:
Mo  0.5000  0.5000  0.2155  1 Si 2.61, 4 Mo 2.82
Mo  0.0000  0.0000  0.9713  4 Si 2.54, 4 Mo 2.82
Si  0.5000  0.5000  0.8157  5 Mo 2.54-2.61
Pb  0.0000  0.0000  0.4975  5 Mo 2.97-3.09, 4 Si 3.12, 4 Pb 3.29

---

Entry 4:
A plane-wave DFT calculation with GGA-PBE was carried out for Li3GaSn2 after structural relaxation.

## Properties
Crystal system: triclinic
Energy above the lowest structure with this stoichiometry, eV per formula unit: 0.00
Electronic total energy, eV/atom: -3.103
Formation energy, eV per atom: -0.308
Volume, Å³/atom: 19.31
Density of states at the Fermi level, states/eV per atom: 0.3170

a b c (Å): 4.2330 8.6446 7.9284
angles (deg): 122.67 105.23 90.29
Last column: nearest neighbours and their distance in Å.
Fractional coordinates of all 12 atoms:
Sn  0.3381  0.3387  0.6770  2 Ga 2.94-2.95, 8 Li 2.97-3.10, 2 Sn 3.08
Sn  0.3381  0.8387  0.6770  2 Ga 2.94-2.95, 8 Li 2.97-3.10, 2 Sn 3.08
Sn  0.6619  0.1613  0.3230  2 Ga 2.94-2.95, 8 Li 2.97-3.10, 2 Sn 3.08
Sn  0.6619  0.6613  0.3230  2 Ga 2.94-2.95, 8 Li 2.97-3.10, 2 Sn 3.08
Li  0.1644  0.9145  0.3286  4 Li 2.97-3.03, 2 Ga 2.99-3.01, 6 Sn 3.02-3.10
Li  0.1644  0.4145  0.3286  4 Li 2.97-3.03, 2 Ga 2.99-3.01, 6 Sn 3.02-3.10
Li  0.8356  0.5855  0.6714  4 Li 2.97-3.03, 2 Ga 2.99-3.01, 6 Sn 3.02-3.10
Li  0.5000  0.2500  0.0000  4 Li 2.97, 4 Sn 2.97-2.98, 4 Ga 3.02-3.03
Li  0.5000  0.7500  0.0000  4 Li 2.97, 4 Sn 2.97-2.98, 4 Ga 3.02-3.03
Li  0.8356  0.0855  0.6714  4 Li 2.97-3.03, 2 Ga 2.99-3.01, 6 Sn 3.02-3.10
Ga  0.0000  0.5000  0.0000  4 Sn 2.94-2.95, 8 Li 2.99-3.03
Ga  0.0000  0.0000  0.0000  4 Sn 2.94-2.95, 8 Li 2.99-3.03